# Ac3La3Nd8 | Alexandria via LeMat-Bulk | PBE | relaxed
data_Ac3La3Nd8
_symmetry_space_group_name_H-M 'P 1'
_symmetry_Int_Tables_number 1
_symmetry_space_group_name_Hall 'P 1'
_cell_length_a 5.926
_cell_length_b 10.217
_cell_length_c 10.217
_cell_angle_alpha 102.06
_cell_angle_beta 73.14
_cell_angle_gamma 73.14
loop_
_atom_site_label
_atom_site_fract_x
_atom_site_fract_y
_atom_site_fract_z
La1 0.000 0.808 0.192
La2 0.500 0.000 0.000
La3 0.000 0.192 0.808
Nd1 0.338 0.885 0.439
Nd2 0.662 0.561 0.115
Nd3 0.338 0.439 0.885
Nd4 0.662 0.115 0.561
Nd5 0.163 0.234 0.440
Nd6 0.163 0.440 0.234
Nd7 0.837 0.766 0.560
Nd8 0.837 0.560 0.766
Ac1 0.812 0.188 0.188
Ac2 0.188 0.812 0.812
Ac3 0.500 0.500 0.500
# E_form = 0.104 eV/atom
# total DFT energy (no corrections) = -4.56 eV per atom
# symmetry = Immm, No. 71